Density functional theory data (PBE-GGA) for a geometry-optimized CeAs3Pt3 structure.

a = 6.855 Å, b = 6.855 Å, c = 6.855 Å
α = 90.00°, β = 90.00°, γ = 90.00°
Sites, in units of the cell vectors:
1 As 0.500 0.000 0.750
2 As 0.000 0.250 0.500
3 As 0.500 0.000 0.250
4 As 0.000 0.750 0.500
5 As 0.750 0.500 0.000
6 As 0.250 0.500 0.000
7 Pt 0.750 0.000 0.500
8 Pt 0.250 0.000 0.500
9 Pt 0.000 0.500 0.750
10 Pt 0.000 0.500 0.250
11 Pt 0.500 0.750 0.000
12 Pt 0.500 0.250 0.000
13 Ce 0.000 0.000 0.000
14 Ce 0.500 0.500 0.500

## Properties
total energy	-82.30	eV/cell
crystal system	cubic